1.
VASP calculation (PBE) on an optimized crystal structure of YEr3Te2C2.

```
8
Lattice="-0.624 3.249 1.881 -2.936 -2.168 -1.079 0.636 -6.873 12.082" Properties=species:S:1:pos:R:3 pbc="T T T"
C -2.164 -0.376 -0.068
C -1.847 -3.798 5.947
Er -1.335 0.801 2.024
Er -1.136 -1.356 5.815
Er 0.377 -4.069 7.153
Te 0.159 -1.722 3.027
Te -0.919 -3.699 9.933
Y 0.577 -6.232 10.954
```

Symmetry: P3m1, No. 156
E_tot in eV/cell: -51.97
Spin magnetization in μB per atom: 0.00

=====

2.
VASP calculation (PBE) on an optimized crystal structure of GdBiN2O.

```
10
Lattice="-4.530 -2.459 -3.164 1.223 -5.235 2.771 -1.208 4.762 3.398" Properties=species:S:1:pos:R:3 pbc="T T T"
Bi -2.869 1.151 0.117
Bi 0.008 -0.237 3.085
Gd -2.775 -6.064 -0.146
Gd -1.740 3.132 3.151
N -3.506 -2.953 -2.107
N 0.199 -4.740 1.714
N -2.338 -2.091 1.289
N -2.176 -0.841 1.716
O -4.298 -0.482 -0.602
O -0.217 -2.450 3.607
```

Symmetry: C2/m, No. 12
E_tot in eV/cell: -67.66
Spin magnetization in μB per atom: 0.00